The following is a GGA-PBE calculation of PaGaNi4H6 after structural relaxation, from the Alexandria database.

Computed properties:
V   102.6 Å³/cell
E_tot   -4.904 eV per atom

Cell and atoms, written as CIF:
```
data_PaGaNi4H6
_chemical_formula_sum 'Pa1 Ga1 Ni4 H6'
_space_group_name_H-M_alt 'P 6/m m m'
_space_group_IT_number 191
_space_group_name_Hall '-P 6 2'
_cell_length_a 4.2633
_cell_length_b 4.2633
_cell_length_c 6.5178
_cell_angle_alpha 90.00
_cell_angle_beta 90.00
_cell_angle_gamma 120.00
loop_
_atom_site_label
_atom_site_type_symbol
_atom_site_fract_x
_atom_site_fract_y
_atom_site_fract_z
Pa1 Pa 0.0000 0.0000 0.0000
Ga1 Ga 0.0000 0.0000 0.5000
Ni1 Ni 0.3333 0.6667 0.3140
H1 H 0.0000 0.5000 0.1453
```